Entry 1:
Below is a PBEsol-optimized structure of MnCdMo2, with properties calculated at the SCAN level.

Computed properties:
calculated volume	62.0	Å³/cell
VASP energy	-29.30	eV per atom
energy of formation from the pure elements	0.312	eV/atom
calculated density	9.6	g cm⁻³
SG	F-43m (216)

Geometry as POSCAR:
```
MnCdMo2
1.0
0.0000 3.1412 3.1412
3.1412 0.0000 3.1412
3.1412 3.1412 0.0000
Mn Cd Mo
1 1 2
Direct
0.0000 0.0000 0.0000
0.2500 0.2500 0.2500
0.5000 0.5000 0.5000
0.7500 0.7500 0.7500
```

=====

Entry 2:
Below is a PBEsol-optimized structure of TcAgSb2I, with properties calculated at the SCAN level.

Computed properties:
ΔE_f (raw)	0.617	eV/atom
calculated volume	143.0	Å³/cell
VASP energy	-34.92	eV per atom
calculated density	6.7	g cm⁻³
SG	P4/mmm (123)

Geometry as POSCAR:
```
TcAgSb2I
1.0
4.9805 0.0000 0.0000
0.0000 4.9805 0.0000
0.0000 0.0000 5.7646
Tc Ag Sb I
1 1 2 1
Direct
0.0000 0.0000 0.0000
0.5000 0.5000 0.5000
0.0000 0.5000 0.0000
0.5000 0.0000 0.0000
0.0000 0.0000 0.5000
```

=====

Entry 3:
Below is a PBEsol-optimized structure of ZrPt3, with properties calculated at the SCAN level.

Computed properties:
calculated volume	127.6	Å³/cell
VASP energy	-61.49	eV per atom
energy of formation from the pure elements	-1.174	eV/atom
calculated density	17.6	g cm⁻³
SG	P6_3/mmc (194)

Geometry as POSCAR:
```
ZrPt3
1.0
5.6515 0.0000 0.0000
-2.8257 4.8943 0.0000
0.0000 0.0000 4.6133
Zr Pt
2 6
Direct
0.3333 0.6667 0.2500
0.6667 0.3333 0.7500
0.1640 0.3280 0.7500
0.1640 0.8360 0.7500
0.3280 0.1640 0.2500
0.6720 0.8360 0.7500
0.8360 0.1640 0.2500
0.8360 0.6720 0.2500
```